1.
This record from Alexandria via LeMat-Bulk describes a geometry-optimized Al12ZnGa7 structure. The functional is PBE. Values from VASP.

Values from the calculation:
The calculation puts the formation energy from the elements at 0.097 eV/atom. The calculation puts the density of states at the Fermi level at 7.74 states/eV/cell. The space-group type is R-3, No. 148. The value obtained for the total magnetic moment is 0.00 μB per cell.

Structure (Quantum ESPRESSO input):
```
&SYSTEM
  ibrav = 0, nat = 20, ntyp = 3
/
ATOMIC_SPECIES
Al 26.98 Al.upf
Zn 65.41 Zn.upf
Ga 69.72 Ga.upf
CELL_PARAMETERS angstrom
-0.3305 -3.5092 -6.5692
2.1792 -5.1411 4.9395
-7.0492 1.6572 1.7722
ATOMIC_POSITIONS crystal
Al 0.7649 0.3384 0.6383
Al 0.6616 0.3617 0.2351
Al 0.4184 0.0303 0.3091
Al 0.9697 0.6909 0.5816
Al 0.3617 0.2351 0.6616
Al 0.6909 0.5816 0.9697
Al 0.3091 0.4184 0.0303
Al 0.6383 0.7649 0.3384
Al 0.0303 0.3091 0.4184
Al 0.5816 0.9697 0.6909
Al 0.3384 0.6383 0.7649
Al 0.2351 0.6616 0.3617
Zn 0.0000 0.0000 0.0000
Ga 0.0905 0.6726 0.9669
Ga 0.3274 0.0331 0.9095
Ga 0.0331 0.9095 0.3274
Ga 0.5000 0.5000 0.5000
Ga 0.9669 0.0905 0.6726
Ga 0.6726 0.9669 0.0905
Ga 0.9095 0.3274 0.0331
```

2.
This record from Alexandria via LeMat-Bulk describes a geometry-optimized Al4Zn2Ga structure. The functional is PBE. Values from VASP.

Values from the calculation:
The calculation puts the formation energy from the elements at 0.022 eV/atom. The calculation puts the density of states at the Fermi level at 2.44 states/eV/cell. The space-group type is R-3m, No. 166. The value obtained for the total magnetic moment is 0.00 μB per cell. The excess energy over the best structure of this formula in the dataset is 0.000 eV/atom.

Structure (Quantum ESPRESSO input):
```
&SYSTEM
  ibrav = 0, nat = 7, ntyp = 3
/
ATOMIC_SPECIES
Zn 65.41 Zn.upf
Al 26.98 Al.upf
Ga 69.72 Ga.upf
CELL_PARAMETERS angstrom
-2.2617 1.6665 0.3031
-2.4757 -0.7586 -1.1313
-5.5504 -7.6355 13.7376
ATOMIC_POSITIONS crystal
Zn 0.5706 0.5706 0.2883
Zn 0.4294 0.4294 0.7117
Al 0.8570 0.8570 0.4289
Al 0.7158 0.7158 0.8527
Al 0.2842 0.2842 0.1473
Al 0.1430 0.1430 0.5711
Ga 0.0000 0.0000 0.0000
```

3.
This record from Alexandria via LeMat-Bulk describes a geometry-optimized AlZn3Ga structure. The functional is PBE. Values from VASP.

Values from the calculation:
The calculation puts the formation energy from the elements at 0.022 eV/atom. The calculation puts the density of states at the Fermi level at 3.02 states/eV/cell. The space-group type is P6_3mc, No. 186. The value obtained for the total magnetic moment is 0.00 μB per cell. The excess energy over the best structure of this formula in the dataset is 0.000 eV/atom.

Structure (Quantum ESPRESSO input):
```
&SYSTEM
  ibrav = 0, nat = 10, ntyp = 3
/
ATOMIC_SPECIES
Al 26.98 Al.upf
Zn 65.41 Zn.upf
Ga 69.72 Ga.upf
CELL_PARAMETERS angstrom
-2.8638 0.0481 0.3455
1.5152 -2.3083 0.8360
2.5972 9.0449 20.2659
ATOMIC_POSITIONS crystal
Al 0.3333 0.6667 0.7262
Al 0.6667 0.3333 0.2262
Zn 0.0000 0.0000 0.3248
Zn 0.0000 0.0000 0.8248
Zn 0.3333 0.6667 0.1278
Zn 0.6667 0.3333 0.6278
Zn 0.6667 0.3333 0.9219
Zn 0.3333 0.6667 0.4219
Ga 0.0000 0.0000 0.0243
Ga 0.0000 0.0000 0.5243
```

4.
This record from Alexandria via LeMat-Bulk describes a geometry-optimized Al2Zn2Ga structure. The functional is PBE. Values from VASP.

Values from the calculation:
The calculation puts the formation energy from the elements at 0.095 eV/atom. The calculation puts the density of states at the Fermi level at 3.63 states/eV/cell. The space-group type is P4/mbm, No. 127. The value obtained for the total magnetic moment is 0.00 μB per cell. The excess energy over the best structure of this formula in the dataset is 0.024 eV/atom.

Structure (Quantum ESPRESSO input):
```
&SYSTEM
  ibrav = 0, nat = 10, ntyp = 3
/
ATOMIC_SPECIES
Zn 65.41 Zn.upf
Al 26.98 Al.upf
Ga 69.72 Ga.upf
CELL_PARAMETERS angstrom
-1.8506 7.1570 -2.9342
-2.6816 -3.4235 -6.6593
-2.5109 -0.1939 1.1108
ATOMIC_POSITIONS crystal
Zn 0.1706 0.6706 0.5000
Zn 0.6706 0.8294 0.5000
Zn 0.8294 0.3294 0.5000
Zn 0.3294 0.1706 0.5000
Al 0.3740 0.8740 0.0000
Al 0.8740 0.6260 0.0000
Al 0.6260 0.1260 0.0000
Al 0.1260 0.3740 0.0000
Ga 0.0000 0.0000 0.0000
Ga 0.5000 0.5000 0.0000
```